*A*
FeRe2Tc | SCAN | PBEsol geometry

a b c (Å): 2.6756 2.6756 7.4446
angles (deg): 90.00 90.00 90.00
Last column: nearest neighbours and their distance in Å.
Space group P4/mmm (No. 123)
Inequivalent atoms, fractional coordinates:
Fe (0.0000, 0.0000, 0.0000) (multiplicity 1)  8 Re 2.57, 4 Fe 2.68
Re (0.5000, 0.5000, 0.2330) (multiplicity 2)  4 Fe 2.57, 4 Re 2.68, 4 Tc 2.74
Tc (0.0000, 0.0000, 0.5000) (multiplicity 1)  4 Tc 2.68, 8 Re 2.74

*B*
FeRe2Tc | SCAN | PBEsol geometry

a b c (Å): 3.7901 3.7901 7.4986
angles (deg): 90.00 90.00 90.00
Last column: nearest neighbours and their distance in Å.
Space group I-4m2 (No. 119)
Inequivalent atoms, fractional coordinates:
Fe (0.0000, 0.0000, 0.0000) (multiplicity 2)  4 Tc 2.67, 8 Re 2.67-2.68
Re (0.0000, 0.0000, 0.5000) (multiplicity 2)  4 Re 2.67, 4 Tc 2.67, 4 Fe 2.68
Re (0.0000, 0.5000, 0.2500) (multiplicity 2)  4 Fe 2.67, 4 Re 2.67, 4 Tc 2.68
Tc (0.0000, 0.5000, 0.7500) (multiplicity 2)  4 Fe 2.67, 8 Re 2.67-2.68

Which one is most stable, and which one is least stable? *B* is the most stable of them, while *A* is the least stable.

*A*
TlFeRe2 | SCAN | PBEsol geometry

a b c (Å): 3.2235 4.4169 8.5266
angles (deg): 90.00 90.00 90.00
Last column: nearest neighbours and their distance in Å.
Space group Imm2 (No. 44)
Inequivalent atoms, fractional coordinates:
Tl (0.0000, 0.0000, 0.0000) (multiplicity 2)  2 Fe 2.65, 8 Re 2.74-2.95
Fe (0.0000, 0.5000, 0.7469) (multiplicity 2)  6 Re 2.55-2.74, 2 Tl 2.65
Re (0.0000, 0.0000, 0.4789) (multiplicity 2)  2 Fe 2.55, 2 Re 2.67, 4 Tl 2.74
Re (0.0000, 0.5000, 0.2289) (multiplicity 2)  2 Re 2.67, 4 Fe 2.74, 4 Tl 2.82-2.95

*B*
TlFeRe2 | SCAN | PBEsol geometry

a b c (Å): 2.8161 2.8161 7.6512
angles (deg): 90.00 90.00 90.00
Last column: nearest neighbours and their distance in Å.
Space group P4/mmm (No. 123)
Inequivalent atoms, fractional coordinates:
Tl (0.0000, 0.0000, 0.0000) (multiplicity 1)  4 Tl 2.82, 8 Re 3.00
Fe (0.0000, 0.0000, 0.5000) (multiplicity 1)  8 Re 2.54, 4 Fe 2.82
Re (0.5000, 0.5000, 0.2939) (multiplicity 2)  4 Fe 2.54, 4 Re 2.82

Which one is most stable, and which one is least stable? *B* is the most stable of them, while *A* is the least stable.

*A*
FeReW2 | SCAN | PBEsol geometry

a b c (Å): 2.6538 4.3483 5.0929
angles (deg): 90.00 99.67 90.00
Last column: nearest neighbours and their distance in Å.
Space group Pm (No. 6)
Inequivalent atoms, fractional coordinates:
Fe (0.0000, 0.0000, 0.0000) (multiplicity 1)  4 W 2.62-2.68, 2 Fe 2.65, 2 Re 2.67
Re (0.7495, 0.5000, 0.2523) (multiplicity 1)  4 W 2.62-2.72, 2 Re 2.65, 2 Fe 2.67
W (0.2446, 0.5000, 0.7643) (multiplicity 1)  2 Fe 2.62, 2 Re 2.62-2.72, 4 W 2.65-2.71
W (0.4973, 0.0000, 0.4977) (multiplicity 1)  2 Re 2.65, 4 W 2.65-2.71, 2 Fe 2.65-2.68

*B*
FeReW2 | SCAN | PBEsol geometry

a b c (Å): 2.6640 2.6640 7.9622
angles (deg): 90.00 90.00 90.00
Last column: nearest neighbours and their distance in Å.
Space group P4mm (No. 99)
Inequivalent atoms, fractional coordinates:
Fe (0.0000, 0.0000, 0.0000) (multiplicity 1)  4 Re 2.50, 4 W 2.64, 4 Fe 2.66
Re (0.5000, 0.5000, 0.2064) (multiplicity 1)  4 Fe 2.50, 4 Re 2.66
W (0.0000, 0.0000, 0.4828) (multiplicity 1)  8 W 2.66-2.94, 4 Re 2.90
W (0.5000, 0.5000, 0.7670) (multiplicity 1)  4 Fe 2.64, 8 W 2.66-2.94

Which one is most stable, and which one is least stable? *A* is the most stable of them, while *B* is the least stable.

*A*
FeReW2 | SCAN | PBEsol geometry

a b c (Å): 3.1337 4.3162 8.4963
angles (deg): 90.00 90.00 90.00
Last column: nearest neighbours and their distance in Å.
Space group Cmm2 (No. 35)
Inequivalent atoms, fractional coordinates:
Fe (0.0000, 0.0000, 0.0000) (multiplicity 2)  2 Re 2.54, 2 W 2.57, 4 Fe 2.67
Re (0.0000, 0.5000, 0.2349) (multiplicity 2)  2 Fe 2.54, 4 Re 2.67, 2 W 2.71
W (0.0000, 0.0000, 0.4951) (multiplicity 2)  6 W 2.67-2.75, 2 Re 2.71
W (0.0000, 0.5000, 0.7607) (multiplicity 2)  2 Fe 2.57, 6 W 2.67-2.75

*B*
FeReW2 | SCAN | PBEsol geometry

a b c (Å): 6.1278 6.1278 6.1278
angles (deg): 90.00 90.00 90.00
Last column: nearest neighbours and their distance in Å.
Space group F-43m (No. 216)
Inequivalent atoms, fractional coordinates:
Fe (0.0000, 0.0000, 0.0000) (multiplicity 4)  4 W 2.65, 4 Re 2.65
Re (0.2500, 0.2500, 0.7500) (multiplicity 4)  4 W 2.65, 4 Fe 2.65
W (0.0000, 0.0000, 0.5000) (multiplicity 4)  4 W 2.65, 4 Re 2.65
W (0.2500, 0.2500, 0.2500) (multiplicity 4)  4 W 2.65, 4 Fe 2.65

Which one is most stable, and which one is least stable? *A* is the most stable of them, while *B* is the least stable.

*A*
Fe4Rh | SCAN | PBEsol geometry

a b c (Å): 3.3915 3.3915 10.0573
angles (deg): 90.00 90.00 90.00
Last column: nearest neighbours and their distance in Å.
Space group I4/mmm (No. 139)
Inequivalent atoms, fractional coordinates:
Fe (0.0000, 0.0000, 0.1012) (multiplicity 4)  5 Fe 2.04-2.26
Fe (0.0000, 0.5000, 0.2500) (multiplicity 4)  8 Fe 2.26-2.40
Rh (0.0000, 0.0000, 0.5000) (multiplicity 2)  8 Fe 2.61

*B*
Fe4Rh | SCAN | PBEsol geometry

a b c (Å): 5.4355 5.4355 5.4355
angles (deg): 90.00 90.00 90.00
Last column: nearest neighbours and their distance in Å.
Space group Im-3m (No. 229)
Inequivalent atoms, fractional coordinates:
Fe (0.2500, 0.2500, 0.2500) (multiplicity 8)  2 Rh 2.35
Rh (0.0000, 0.0000, 0.0000) (multiplicity 2)  8 Fe 2.35

Which one is most stable, and which one is least stable? *A* is the most stable of them, while *B* is the least stable.

*A*
Fe4Rh | SCAN | PBEsol geometry

a b c (Å): 4.0579 4.0579 12.4451
angles (deg): 90.00 90.00 120.00
Last column: nearest neighbours and their distance in Å.
Space group R-3m (No. 166, hexagonal axes)
Inequivalent atoms, fractional coordinates:
Fe (0.0000, 0.0000, 0.0965) (multiplicity 6)  5 Fe 2.40-2.52, 3 Rh 2.50
Fe (0.0000, 0.0000, 0.2989) (multiplicity 6)  7 Fe 2.47-2.52, 1 Rh 2.50
Rh (0.0000, 0.0000, 0.5000) (multiplicity 3)  8 Fe 2.50

*B*
Fe4Rh | SCAN | PBEsol geometry

a b c (Å): 2.8206 4.1633 20.0350
angles (deg): 90.00 90.00 90.00
Last column: nearest neighbours and their distance in Å.
Space group Fmmm (No. 69)
Inequivalent atoms, fractional coordinates:
Fe (0.0000, 0.0000, 0.1053) (multiplicity 8)  6 Fe 2.39-2.51, 2 Rh 2.54
Fe (0.0000, 0.0000, 0.2985) (multiplicity 8)  8 Fe 2.39-2.51
Rh (0.0000, 0.0000, 0.5000) (multiplicity 4)  4 Rh 2.51, 4 Fe 2.54

Which one is most stable, and which one is least stable? *A* is the most stable of them, while *B* is the least stable.

*A*
Fe4Rh | SCAN | PBEsol geometry

a b c (Å): 2.8546 2.8546 14.4507
angles (deg): 90.00 90.00 90.00
Last column: nearest neighbours and their distance in Å.
Space group I4/mmm (No. 139)
Inequivalent atoms, fractional coordinates:
Fe (0.0000, 0.0000, 0.1071) (multiplicity 4)  4 Fe 2.44, 4 Rh 2.54
Fe (0.0000, 0.0000, 0.2978) (multiplicity 4)  8 Fe 2.44-2.45
Rh (0.0000, 0.0000, 0.5000) (multiplicity 2)  8 Fe 2.54

*B*
Fe4Rh | SCAN | PBEsol geometry

a b c (Å): 11.7225 4.0142 2.5366
angles (deg): 90.00 98.00 90.00
Last column: nearest neighbours and their distance in Å.
Space group C2/m (No. 12)
Inequivalent atoms, fractional coordinates:
Fe (0.1029, 0.0000, 0.4247) (multiplicity 4)  6 Fe 2.41-2.54, 2 Rh 2.51
Fe (0.2039, 0.5000, 0.8002) (multiplicity 4)  7 Fe 2.41-2.54, 1 Rh 2.51
Rh (0.0000, 0.5000, 0.0000) (multiplicity 2)  6 Fe 2.51, 2 Rh 2.54

Which one is most stable, and which one is least stable? *A* is the most stable of them, while *B* is the least stable.

*A*
Fe4Rh5 | SCAN | PBEsol geometry

a b c (Å): 7.8112 7.8112 3.7390
angles (deg): 90.00 90.00 90.00
Last column: nearest neighbours and their distance in Å.
Space group I4/mmm (No. 139)
Inequivalent atoms, fractional coordinates:
Fe (0.0000, 0.3347, 0.0000) (multiplicity 8)  5 Fe 2.58-2.61, 7 Rh 2.60-2.63
Rh (0.0000, 0.0000, 0.0000) (multiplicity 2)  4 Fe 2.61, 8 Rh 2.63
Rh (0.1678, 0.1678, 0.5000) (multiplicity 8)  6 Fe 2.60-2.63, 6 Rh 2.61-2.63

*B*
Fe4Rh5 | SCAN | PBEsol geometry

a b c (Å): 7.2317 7.2317 5.0875
angles (deg): 90.00 90.00 120.00
Last column: nearest neighbours and their distance in Å.
Space group P6_3/mcm (No. 193)
Inequivalent atoms, fractional coordinates:
Fe (0.0000, 0.0000, 0.0000) (multiplicity 2)  8 Fe 2.54-2.75, 6 Rh 2.67
Fe (0.0000, 0.3377, 0.2500) (multiplicity 6)  5 Rh 2.40-2.55
Rh (0.0000, 0.3244, 0.7500) (multiplicity 6)  7 Fe 2.40-2.67
Rh (0.3333, 0.6667, 0.0000) (multiplicity 4)  8 Rh 2.54-2.75, 6 Fe 2.71

Which one is most stable, and which one is least stable? *A* is the most stable of them, while *B* is the least stable.